# SiRhSe2N, relaxed, DFT GGA-PBE
# relative energy among the computed polymorphs: 0.0 kJ/mol of atoms
# energy relative to the elements, uncorrected: 0.39 eV/atom
data_SiRhSe2N
_chemical_formula_sum 'Si1 Rh1 Se2 N1'
_cell_length_a 5.0090
_cell_length_b 5.0090
_cell_length_c 3.2169
_cell_angle_alpha 90.00
_cell_angle_beta 90.00
_cell_angle_gamma 90.00
_space_group_name_H-M_alt 'P 4/m m m'
_space_group_IT_number 123
_space_group_name_Hall '-P 4 2'
loop_
_atom_site_label
_atom_site_type_symbol
_atom_site_fract_x
_atom_site_fract_y
_atom_site_fract_z
Si1 Si 0.0000 0.0000 0.0000
Rh1 Rh 0.5000 0.5000 0.5000
Se1 Se 0.0000 0.5000 0.0000
N1 N 0.0000 0.0000 0.5000

=====

# SiRhSe2N, relaxed, DFT GGA-PBE
# relative energy among the computed polymorphs: 19.0 kJ/mol of atoms
# energy relative to the elements, uncorrected: 0.59 eV/atom
data_SiRhSe2N
_chemical_formula_sum 'Si1 Rh1 Se2 N1'
_cell_length_a 5.1232
_cell_length_b 5.1232
_cell_length_c 3.6383
_cell_angle_alpha 90.00
_cell_angle_beta 90.00
_cell_angle_gamma 90.00
_space_group_name_H-M_alt 'P 4/m m m'
_space_group_IT_number 123
_space_group_name_Hall '-P 4 2'
loop_
_atom_site_label
_atom_site_type_symbol
_atom_site_fract_x
_atom_site_fract_y
_atom_site_fract_z
Si1 Si 0.0000 0.0000 0.0000
Rh1 Rh 0.5000 0.5000 0.5000
Se1 Se 0.0000 0.5000 0.5000
N1 N 0.5000 0.5000 0.0000

=====

# TaRhSe2N, relaxed, DFT GGA-PBE
# relative energy among the computed polymorphs: 0.0 kJ/mol of atoms
# energy relative to the elements, uncorrected: 0.40 eV/atom
data_TaRhSe2N
_chemical_formula_sum 'Ta1 Rh1 Se2 N1'
_cell_length_a 5.1112
_cell_length_b 5.1112
_cell_length_c 3.8250
_cell_angle_alpha 90.00
_cell_angle_beta 90.00
_cell_angle_gamma 90.00
_space_group_name_H-M_alt 'P 4/m m m'
_space_group_IT_number 123
_space_group_name_Hall '-P 4 2'
loop_
_atom_site_label
_atom_site_type_symbol
_atom_site_fract_x
_atom_site_fract_y
_atom_site_fract_z
Ta1 Ta 0.0000 0.0000 0.0000
Rh1 Rh 0.5000 0.5000 0.5000
Se1 Se 0.0000 0.5000 0.0000
N1 N 0.0000 0.0000 0.5000

=====

# TaRhSeN2, relaxed, DFT GGA-PBE
# relative energy among the computed polymorphs: 76.4 kJ/mol of atoms
# energy relative to the elements, uncorrected: 1.31 eV/atom
data_TaRhSeN2
_chemical_formula_sum 'Ta1 Rh1 Se1 N2'
_cell_length_a 3.8747
_cell_length_b 3.8747
_cell_length_c 4.8990
_cell_angle_alpha 90.00
_cell_angle_beta 90.00
_cell_angle_gamma 90.00
_space_group_name_H-M_alt 'P 4/m m m'
_space_group_IT_number 123
_space_group_name_Hall '-P 4 2'
loop_
_atom_site_label
_atom_site_type_symbol
_atom_site_fract_x
_atom_site_fract_y
_atom_site_fract_z
Ta1 Ta 0.0000 0.0000 0.0000
Rh1 Rh 0.5000 0.5000 0.5000
Se1 Se 0.5000 0.5000 0.0000
N1 N 0.0000 0.5000 0.5000

=====

# TaRhSeN2, relaxed, DFT GGA-PBE
# relative energy among the computed polymorphs: 0.0 kJ/mol of atoms
# energy relative to the elements, uncorrected: 0.52 eV/atom
data_TaRhSeN2
_chemical_formula_sum 'Ta1 Rh1 Se1 N2'
_cell_length_a 3.9457
_cell_length_b 3.9457
_cell_length_c 5.3871
_cell_angle_alpha 90.00
_cell_angle_beta 90.00
_cell_angle_gamma 90.00
_space_group_name_H-M_alt 'P 4/m m m'
_space_group_IT_number 123
_space_group_name_Hall '-P 4 2'
loop_
_atom_site_label
_atom_site_type_symbol
_atom_site_fract_x
_atom_site_fract_y
_atom_site_fract_z
Ta1 Ta 0.0000 0.0000 0.0000
Rh1 Rh 0.5000 0.5000 0.5000
Se1 Se 0.0000 0.0000 0.5000
N1 N 0.0000 0.5000 0.0000

=====

# TaRhSe2N, relaxed, DFT GGA-PBE
# relative energy among the computed polymorphs: 29.6 kJ/mol of atoms
# energy relative to the elements, uncorrected: 0.71 eV/atom
data_TaRhSe2N
_chemical_formula_sum 'Ta1 Rh1 Se2 N1'
_cell_length_a 5.0573
_cell_length_b 5.0573
_cell_length_c 3.6054
_cell_angle_alpha 90.00
_cell_angle_beta 90.00
_cell_angle_gamma 90.00
_space_group_name_H-M_alt 'P 4/m m m'
_space_group_IT_number 123
_space_group_name_Hall '-P 4 2'
loop_
_atom_site_label
_atom_site_type_symbol
_atom_site_fract_x
_atom_site_fract_y
_atom_site_fract_z
Ta1 Ta 0.0000 0.0000 0.0000
Rh1 Rh 0.5000 0.5000 0.5000
Se1 Se 0.0000 0.5000 0.5000
N1 N 0.5000 0.5000 0.0000

=====

# TiRhSe2N, relaxed, DFT GGA-PBE
# relative energy among the computed polymorphs: 0.0 kJ/mol of atoms
# energy relative to the elements, uncorrected: 0.27 eV/atom
data_TiRhSe2N
_chemical_formula_sum 'Ti1 Rh1 Se2 N1'
_cell_length_a 5.0204
_cell_length_b 5.0204
_cell_length_c 3.6529
_cell_angle_alpha 90.00
_cell_angle_beta 90.00
_cell_angle_gamma 90.00
_space_group_name_H-M_alt 'P 4/m m m'
_space_group_IT_number 123
_space_group_name_Hall '-P 4 2'
loop_
_atom_site_label
_atom_site_type_symbol
_atom_site_fract_x
_atom_site_fract_y
_atom_site_fract_z
Ti1 Ti 0.0000 0.0000 0.0000
Rh1 Rh 0.5000 0.5000 0.5000
Se1 Se 0.0000 0.5000 0.0000
N1 N 0.0000 0.0000 0.5000

=====

# TiRhSe2N, relaxed, DFT GGA-PBE
# relative energy among the computed polymorphs: 5.4 kJ/mol of atoms
# energy relative to the elements, uncorrected: 0.32 eV/atom
data_TiRhSe2N
_chemical_formula_sum 'Ti1 Rh1 Se2 N1'
_cell_length_a 5.0617
_cell_length_b 5.0617
_cell_length_c 3.6292
_cell_angle_alpha 90.00
_cell_angle_beta 90.00
_cell_angle_gamma 90.00
_space_group_name_H-M_alt 'P 4/m m m'
_space_group_IT_number 123
_space_group_name_Hall '-P 4 2'
loop_
_atom_site_label
_atom_site_type_symbol
_atom_site_fract_x
_atom_site_fract_y
_atom_site_fract_z
Ti1 Ti 0.0000 0.0000 0.0000
Rh1 Rh 0.5000 0.5000 0.5000
Se1 Se 0.0000 0.5000 0.5000
N1 N 0.5000 0.5000 0.0000

=====

# TlRhSe2N, relaxed, DFT GGA-PBE
# relative energy among the computed polymorphs: 0.0 kJ/mol of atoms
# energy relative to the elements, uncorrected: 0.27 eV/atom
data_TlRhSe2N
_chemical_formula_sum 'Tl1 Rh1 Se2 N1'
_cell_length_a 5.3182
_cell_length_b 5.3182
_cell_length_c 3.6637
_cell_angle_alpha 90.00
_cell_angle_beta 90.00
_cell_angle_gamma 90.00
_space_group_name_H-M_alt 'P 4/m m m'
_space_group_IT_number 123
_space_group_name_Hall '-P 4 2'
loop_
_atom_site_label
_atom_site_type_symbol
_atom_site_fract_x
_atom_site_fract_y
_atom_site_fract_z
Tl1 Tl 0.0000 0.0000 0.0000
Rh1 Rh 0.5000 0.5000 0.5000
Se1 Se 0.0000 0.5000 0.5000
N1 N 0.5000 0.5000 0.0000

=====

# TlRhSe2N, relaxed, DFT GGA-PBE
# relative energy among the computed polymorphs: 140.8 kJ/mol of atoms
# energy relative to the elements, uncorrected: 1.73 eV/atom
data_TlRhSe2N
_chemical_formula_sum 'Tl1 Rh1 Se2 N1'
_cell_length_a 5.3902
_cell_length_b 5.3902
_cell_length_c 4.0055
_cell_angle_alpha 90.00
_cell_angle_beta 90.00
_cell_angle_gamma 90.00
_space_group_name_H-M_alt 'P 4/m m m'
_space_group_IT_number 123
_space_group_name_Hall '-P 4 2'
loop_
_atom_site_label
_atom_site_type_symbol
_atom_site_fract_x
_atom_site_fract_y
_atom_site_fract_z
Tl1 Tl 0.0000 0.0000 0.0000
Rh1 Rh 0.5000 0.5000 0.5000
Se1 Se 0.0000 0.5000 0.0000
N1 N 0.0000 0.0000 0.5000

=====

# VRhSe2N, relaxed, DFT GGA-PBE
# relative energy among the computed polymorphs: 34.5 kJ/mol of atoms
# energy relative to the elements, uncorrected: 0.66 eV/atom
data_VRhSe2N
_chemical_formula_sum 'V1 Rh1 Se2 N1'
_cell_length_a 5.0576
_cell_length_b 5.0576
_cell_length_c 3.6241
_cell_angle_alpha 90.00
_cell_angle_beta 90.00
_cell_angle_gamma 90.00
_space_group_name_H-M_alt 'P 4/m m m'
_space_group_IT_number 123
_space_group_name_Hall '-P 4 2'
loop_
_atom_site_label
_atom_site_type_symbol
_atom_site_fract_x
_atom_site_fract_y
_atom_site_fract_z
V1 V 0.0000 0.0000 0.0000
Rh1 Rh 0.5000 0.5000 0.5000
Se1 Se 0.0000 0.5000 0.5000
N1 N 0.5000 0.5000 0.0000

=====

# VRhSe2N, relaxed, DFT GGA-PBE
# relative energy among the computed polymorphs: 0.0 kJ/mol of atoms
# energy relative to the elements, uncorrected: 0.31 eV/atom
data_VRhSe2N
_chemical_formula_sum 'V1 Rh1 Se2 N1'
_cell_length_a 4.9034
_cell_length_b 4.9034
_cell_length_c 3.5471
_cell_angle_alpha 90.00
_cell_angle_beta 90.00
_cell_angle_gamma 90.00
_space_group_name_H-M_alt 'P 4/m m m'
_space_group_IT_number 123
_space_group_name_Hall '-P 4 2'
loop_
_atom_site_label
_atom_site_type_symbol
_atom_site_fract_x
_atom_site_fract_y
_atom_site_fract_z
V1 V 0.0000 0.0000 0.0000
Rh1 Rh 0.5000 0.5000 0.5000
Se1 Se 0.0000 0.5000 0.0000
N1 N 0.0000 0.0000 0.5000

=====

# RhWSe2N, relaxed, DFT GGA-PBE
# relative energy among the computed polymorphs: 44.4 kJ/mol of atoms
# energy relative to the elements, uncorrected: 1.04 eV/atom
data_RhWSe2N
_chemical_formula_sum 'Rh1 W1 Se2 N1'
_cell_length_a 5.0530
_cell_length_b 5.0530
_cell_length_c 3.5968
_cell_angle_alpha 90.00
_cell_angle_beta 90.00
_cell_angle_gamma 90.00
_space_group_name_H-M_alt 'P 4/m m m'
_space_group_IT_number 123
_space_group_name_Hall '-P 4 2'
loop_
_atom_site_label
_atom_site_type_symbol
_atom_site_fract_x
_atom_site_fract_y
_atom_site_fract_z
Rh1 Rh 0.0000 0.0000 0.0000
W1 W 0.5000 0.5000 0.5000
Se1 Se 0.0000 0.5000 0.0000
N1 N 0.0000 0.0000 0.5000

=====

# RhW2SeN, relaxed, DFT GGA-PBE
# energy relative to the elements, uncorrected: 2.49 eV/atom
data_RhW2SeN
_chemical_formula_sum 'Rh1 W2 Se1 N1'
_cell_length_a 4.6211
_cell_length_b 4.6211
_cell_length_c 4.4322
_cell_angle_alpha 90.00
_cell_angle_beta 90.00
_cell_angle_gamma 90.00
_space_group_name_H-M_alt 'P 4/m m m'
_space_group_IT_number 123
_space_group_name_Hall '-P 4 2'
loop_
_atom_site_label
_atom_site_type_symbol
_atom_site_fract_x
_atom_site_fract_y
_atom_site_fract_z
Rh1 Rh 0.0000 0.0000 0.0000
W1 W 0.0000 0.5000 0.5000
Se1 Se 0.0000 0.0000 0.5000
N1 N 0.5000 0.5000 0.0000